This record from the Alexandria database describes a relaxed structure of KCa3Al. The functional is PBE.

Computed properties:
Energy relative to the elements: 0.085 eV/atom
Total moment: 0.00 μB per cell
ρ: 1.4 g/cm3
Calculated total energy: -10.42 eV per cell

a = 6.0805 Å, b = 6.0805 Å, c = 6.0805 Å
α = 90.00°, β = 90.00°, γ = 90.00°
Last column: nearest neighbours and their distance in Å.
Element x y z (fractional)
K  0.0000  0.0000  0.0000  12 Ca 4.30
Ca  0.0000  0.5000  0.5000  2 Al 3.04
Ca  0.5000  0.0000  0.5000  2 Al 3.04
Ca  0.5000  0.5000  0.0000  2 Al 3.04
Al  0.5000  0.5000  0.5000  6 Ca 3.04

***

This record from the Alexandria database describes a relaxed structure of Ca2Y2Er. The functional is PBE.

Computed properties:
Energy relative to the elements: 0.048 eV/atom
Total moment: 0.00 μB per cell
ρ: 4.0 g/cm3
Calculated total energy: -21.26 eV per cell

a = 3.6395 Å, b = 3.6395 Å, c = 15.3228 Å
α = 90.01°, β = 90.01°, γ = 59.99°
Last column: nearest neighbours and their distance in Å.
Element x y z (fractional)
Ca  0.1658  0.1658  0.3905  9 Ca 3.64-3.96, 3 Y 3.79-3.81
Ca  0.8342  0.8342  0.6095  9 Ca 3.64-3.96, 3 Y 3.79-3.81
Y  0.1651  0.1651  0.8162  3 Er 3.51-3.52, 6 Y 3.64, 3 Ca 3.79-3.81
Y  0.8349  0.8349  0.1838  3 Er 3.51-3.52, 6 Y 3.64, 3 Ca 3.79-3.81
Er  0.5000  0.5000  0.0000  6 Y 3.51-3.52, 6 Er 3.64

***

This record from the Alexandria database describes a relaxed structure of Pr4Te5F2. The functional is PBE.

Computed properties:
Total moment: 0.00 μB per cell
ρ: 5.8 g/cm3
Formation energy (no corrections): -1.91 eV/atom
Calculated total energy: -59.58 eV per cell

a = 9.7547 Å, b = 9.7547 Å, c = 8.5028 Å
α = 99.66°, β = 99.66°, γ = 26.31°
Last column: nearest neighbours and their distance in Å.
Element x y z (fractional)
Pr  0.0274  0.0274  0.2490  2 F 2.46
Pr  0.2921  0.2921  0.7855  1 F 2.69
Pr  0.7079  0.7079  0.2145  1 F 2.69
Pr  0.9726  0.9726  0.7510  2 F 2.46
Te  0.1441  0.1441  0.9458  4 Pr 3.27-3.39, 2 F 3.44
Te  0.1734  0.1734  0.4583  4 Pr 3.03-3.27
Te  0.5000  0.5000  0.5000  4 Pr 3.18, 2 F 3.25
Te  0.8266  0.8266  0.5417  4 Pr 3.03-3.27
Te  0.8559  0.8559  0.0542  4 Pr 3.27-3.39, 2 F 3.44
F  0.4358  0.4358  0.8300  3 Pr 2.46-2.69
F  0.5642  0.5642  0.1700  3 Pr 2.46-2.69

***

This record from the Alexandria database describes a relaxed structure of Ta2PAu. The functional is PBE.

Computed properties:
Energy relative to the elements: 0.102 eV/atom
Total moment: 0.00 μB per cell
ρ: 14.5 g/cm3
Calculated total energy: -31.98 eV per cell

a = 5.2315 Å, b = 5.2315 Å, c = 5.2315 Å
α = 136.30°, β = 136.30°, γ = 63.51°
Last column: nearest neighbours and their distance in Å.
Element x y z (fractional)
Ta  0.0000  0.0000  0.0000  4 P 2.75, 4 Ta 2.96, 4 Au 2.96
Ta  0.7500  0.2500  0.5000  4 Au 2.75, 4 Ta 2.96, 4 P 2.96
P  0.5000  0.5000  0.0000  8 Ta 2.75-2.96, 4 Au 2.96
Au  0.2500  0.7500  0.5000  8 Ta 2.75-2.96, 4 P 2.96

***

This record from the Alexandria database describes a relaxed structure of Y2TaMo. The functional is PBE.

Computed properties:
Energy relative to the elements: 0.462 eV/atom
Total moment: 0.00 μB per cell
ρ: 8.6 g/cm3
Calculated total energy: -33.77 eV per cell

a = 5.0190 Å, b = 5.0190 Å, c = 5.0190 Å
α = 121.06°, β = 121.06°, γ = 88.18°
Last column: nearest neighbours and their distance in Å.
Element x y z (fractional)
Y  0.0000  0.0000  0.0000  4 Mo 3.06, 4 Y 3.06
Y  0.7500  0.2500  0.5000  4 Ta 3.06, 4 Y 3.06
Ta  0.5000  0.5000  0.0000  4 Y 3.06, 4 Mo 3.06
Mo  0.2500  0.7500  0.5000  4 Ta 3.06, 4 Y 3.06

***

This record from the Alexandria database describes a relaxed structure of CsFeGe2. The functional is PBE.

Computed properties:
Energy relative to the elements: -0.003 eV/atom
Total moment: 0.00 μB per cell
ρ: 4.3 g/cm3
Calculated total energy: -37.13 eV per cell

a = 7.1201 Å, b = 7.1201 Å, c = 7.1201 Å
α = 119.78°, β = 119.78°, γ = 90.38°
Last column: nearest neighbours and their distance in Å.
Element x y z (fractional)
Cs  0.3750  0.6250  0.7500  12 Ge 4.17-4.19, 4 Fe 4.36, 4 Cs 4.36
Cs  0.6250  0.3750  0.2500  12 Ge 4.17-4.19, 4 Fe 4.36, 4 Cs 4.36
Fe  0.1250  0.8750  0.2500  4 Ge 2.18
Fe  0.8750  0.1250  0.7500  4 Ge 2.18
Ge  0.0000  0.0000  0.0000  2 Fe 2.18
Ge  0.0000  0.0000  0.5000  2 Fe 2.18
Ge  0.0000  0.5000  0.0000  2 Fe 2.18
Ge  0.5000  0.0000  0.5000  2 Fe 2.18